No. 1
Below is a relaxed Ce2Pm3Sb3 crystal, with properties calculated at the PBE level.

Unit cell a=6.356 b=9.317 c=9.317 alpha=120.00 beta=90.00 gamma=90.00
Site moments in Bohr magnetons follow the coordinates.
Sites, in units of the cell vectors:
Ce (0.000, 0.333, 0.667)  0.92
Ce (0.500, 0.667, 0.333)  0.92
Ce (0.000, 0.667, 0.333)  0.92
Ce (0.500, 0.333, 0.667)  0.92
Pm (0.750, 0.255, 0.000)  0.01
Pm (0.750, 0.745, 0.745)  0.01
Pm (0.750, 0.000, 0.255)  0.01
Pm (0.250, 0.745, 0.000)  0.01
Pm (0.250, 0.255, 0.255)  0.01
Pm (0.250, 0.000, 0.745)  0.01
Sb (0.750, 0.616, 0.000)  -0.02
Sb (0.750, 0.384, 0.384)  -0.02
Sb (0.750, 0.000, 0.616)  -0.02
Sb (0.250, 0.384, 0.000)  -0.02
Sb (0.250, 0.616, 0.616)  -0.02
Sb (0.250, 0.000, 0.384)  -0.02

- formation energy without anion corrections (meV per atom) = -925.3
- DOS(E_F) (states/eV per cell) = 31.23
- space group = No. 193

***

No. 2
Below is a relaxed CaZn12Ni4 crystal, with properties calculated at the PBE level.

Unit cell a=7.333 b=7.333 c=7.333 alpha=109.47 beta=109.47 gamma=109.47
Sites, in units of the cell vectors:
Ca (0.000, 0.000, 0.000)
Zn (0.830, 0.347, 0.178)
Zn (0.347, 0.517, 0.170)
Zn (0.822, 0.170, 0.653)
Zn (0.347, 0.178, 0.830)
Zn (0.178, 0.830, 0.347)
Zn (0.653, 0.483, 0.830)
Zn (0.517, 0.170, 0.347)
Zn (0.483, 0.830, 0.653)
Zn (0.653, 0.822, 0.170)
Zn (0.830, 0.653, 0.483)
Zn (0.170, 0.347, 0.517)
Zn (0.170, 0.653, 0.822)
Ni (0.000, 0.500, 0.000)
Ni (0.500, 0.000, 0.000)
Ni (0.500, 0.500, 0.500)
Ni (0.000, 0.000, 0.500)

- formation enthalpy at 0 K (eV/f.u.) = 2.2
- DOS(E_F) (states/eV per cell) = 10.96
- space group = No. 204